First-principles (GGA-PBE) data for a relaxed LaRe2W crystal, as listed in Alexandria via LeMat-Bulk.

Results
energy	-10.198	eV/atom
energy relative to the elements	0.50	eV/atom
energy relative to the lowest polymorph listed for this composition	160	meV per atom

abc: 2.8849 4.2335 6.5430
angles: 90.00 98.61 90.00
Space group P2/m (No. 10)
Inequivalent atoms, fractional coordinates:
La (0.0000, 0.0000, 0.0000)
Re (0.2377, 0.5000, 0.6829)
W (0.5000, 0.0000, 0.5000)